Here is crystalline MnCd3Au4 at its relaxed geometry from Alexandria. Energies are from PBE.

Calculated values
Density of states at the Fermi level in states/eV/f.u.: 2.642
Energy of formation in eV per atom: -0.1435
E_tot in eV/cell: -26.173

a b c (Å): 3.3056 3.3066 13.7452
angles (deg): 90.00 90.00 90.00
With the nearest neighbours (Å) after each atom.
Atoms (fractional coordinates):
Au 0.0000 0.0000 0.8906  4 Mn 2.78, 4 Cd 2.95, 1 Au 3.01
Au 0.0000 0.0000 0.6292  8 Cd 2.94-2.95
Au 0.0000 0.0000 0.3708  8 Cd 2.94-2.95
Au 0.0000 0.0000 0.1094  4 Mn 2.78, 4 Cd 2.95, 1 Au 3.01
Cd 0.5000 0.5000 0.5000  8 Au 2.94
Cd 0.5000 0.5000 0.7599  8 Au 2.95, 1 Mn 3.30
Cd 0.5000 0.5000 0.2401  8 Au 2.95, 1 Mn 3.30
Mn 0.5000 0.5000 0.0000  8 Au 2.78